4
Lattice="-2.384 -1.723 -0.124 2.383 -3.529 3.207 -1.317 4.091 3.447" Properties=species:S:1:pos:R:3 comment="Hg2SbW | the Alexandria database | PBEsol | relaxed" m_tot_mub_per_fu=0.00 volume_a3_per_cell=81.1 formation_energy_uncorrected_ev_per_atom=0.603 mass_density_g_cm3=14.473 pbc="T T T"
Hg 2.134 -3.190 3.297
Hg 0.562 -1.094 4.391
Sb -1.315 1.493 4.563
W -1.633 -0.434 2.476

---

3
Lattice="-3.598 -1.402 1.382 1.969 -2.359 2.717 0.665 5.279 1.010" Properties=species:S:1:pos:R:3 comment="YHgSb | the Alexandria database | PBEsol | relaxed" m_tot_mub_per_fu=0.00 volume_a3_per_cell=77.0 formation_energy_uncorrected_ev_per_atom=-0.564 mass_density_g_cm3=8.874 pbc="T T T"
Hg -0.965 1.518 5.108
Sb -0.867 -0.688 3.123
Y -0.097 2.206 1.986

---

5
Lattice="5.363 0.000 0.000 0.000 5.363 0.000 0.000 0.000 5.363" Properties=species:S:1:pos:R:3 comment="YHg3Sb | the Alexandria database | PBEsol | relaxed" m_tot_mub_per_fu=0.00 volume_a3_per_cell=154.3 formation_energy_uncorrected_ev_per_atom=0.385 mass_density_g_cm3=8.744 pbc="T T T"
Y 2.682 2.682 2.682
Sb 0.000 0.000 0.000
Hg 0.000 2.682 0.000
Hg 0.000 0.000 2.682
Hg 2.682 0.000 0.000

---

4
Lattice="5.250 0.000 0.000 2.625 4.547 0.000 2.625 1.516 4.287" Properties=species:S:1:pos:R:3 comment="YHgSb2 | the Alexandria database | PBEsol | relaxed" m_tot_mub_per_fu=0.00 volume_a3_per_cell=102.3 formation_energy_uncorrected_ev_per_atom=-0.317 mass_density_g_cm3=8.650 pbc="T T T"
Hg 5.250 3.031 2.143
Sb 0.000 0.000 0.000
Sb 7.875 4.547 3.215
Y 2.625 1.516 1.072

---

5
Lattice="5.487 0.000 0.000 0.000 5.487 0.000 0.000 0.000 5.487" Properties=species:S:1:pos:R:3 comment="Y3HgSb | the Alexandria database | PBEsol | relaxed" m_tot_mub_per_fu=0.00 volume_a3_per_cell=165.2 formation_energy_uncorrected_ev_per_atom=-0.122 mass_density_g_cm3=5.921 pbc="T T T"
Y 0.000 2.744 0.000
Y 0.000 0.000 2.744
Y 2.744 0.000 0.000
Sb 2.744 2.744 2.744
Hg 0.000 0.000 0.000

---

3
Lattice="-0.942 3.151 0.079 -1.826 -1.379 -2.364 -2.998 -2.302 5.351" Properties=species:S:1:pos:R:3 comment="ZnHgSb | the Alexandria database | PBEsol | relaxed" relative_energy_mev_per_atom=0 m_tot_mub_per_fu=0.00 volume_a3_per_cell=65.2 formation_energy_uncorrected_ev_per_atom=0.143 mass_density_g_cm3=9.875 pbc="T T T"
Hg -0.134 -0.043 0.128
Sb -2.816 -0.910 2.705
Zn -2.816 0.423 0.233

---

5
Lattice="-4.331 1.911 1.729 -2.046 -4.606 -0.035 1.567 -0.732 4.734" Properties=species:S:1:pos:R:3 comment="ZnHg3Sb | the Alexandria database | PBEsol | relaxed" relative_energy_mev_per_atom=0 m_tot_mub_per_fu=0.00 volume_a3_per_cell=128.0 formation_energy_uncorrected_ev_per_atom=0.347 mass_density_g_cm3=10.232 pbc="T T T"
Sb -2.405 -1.714 3.214
Zn 0.000 0.000 0.000
Hg -1.023 -2.303 -0.017
Hg 0.784 -0.366 2.367
Hg -2.166 0.955 0.865

---

4
Lattice="-2.504 -1.730 -0.112 3.908 -3.666 -0.163 1.320 -0.267 5.189" Properties=species:S:1:pos:R:3 comment="Zn2HgSb | the Alexandria database | PBEsol | relaxed" relative_energy_mev_per_atom=63 m_tot_mub_per_fu=0.00 volume_a3_per_cell=82.8 formation_energy_uncorrected_ev_per_atom=0.160 mass_density_g_cm3=9.093 pbc="T T T"
Hg 1.362 -2.831 2.457
Sb -1.252 -0.865 -0.056
Zn 1.954 -1.833 -0.081
Zn 0.660 -0.133 2.595

---

4
Lattice="-0.667 2.974 0.357 -0.480 -0.676 2.955 8.177 1.628 1.702" Properties=species:S:1:pos:R:3 comment="Zn2HgSb | the Alexandria database | PBEsol | relaxed" relative_energy_mev_per_atom=53 m_tot_mub_per_fu=0.00 volume_a3_per_cell=80.0 formation_energy_uncorrected_ev_per_atom=0.150 mass_density_g_cm3=9.410 pbc="T T T"
Hg 4.421 0.880 0.920
Sb 1.223 1.507 2.030
Zn 7.860 1.565 1.636
Zn 5.791 2.417 2.981

---

3
Lattice="4.755 0.000 0.000 2.377 4.118 0.000 2.377 1.373 3.882" Properties=species:S:1:pos:R:3 comment="ZnHgSb | the Alexandria database | PBEsol | relaxed" relative_energy_mev_per_atom=59 m_tot_mub_per_fu=0.00 volume_a3_per_cell=76.0 formation_energy_uncorrected_ev_per_atom=0.202 mass_density_g_cm3=8.472 pbc="T T T"
Hg 4.755 2.745 1.941
Sb 2.377 1.373 0.971
Zn 0.000 0.000 0.000

---

4
Lattice="4.042 0.000 0.000 0.000 4.042 0.000 -2.021 -2.021 4.894" Properties=species:S:1:pos:R:3 comment="Zn2HgSb | the Alexandria database | PBEsol | relaxed" relative_energy_mev_per_atom=74 m_tot_mub_per_fu=0.00 volume_a3_per_cell=80.0 formation_energy_uncorrected_ev_per_atom=0.171 mass_density_g_cm3=9.411 pbc="T T T"
Hg 2.021 2.021 0.000
Sb 0.000 2.021 2.447
Zn 0.000 0.000 0.000
Zn 2.021 0.000 2.447

---

4
Lattice="-2.135 -0.727 -2.563 1.210 -1.316 -2.908 -1.307 -8.072 1.105" Properties=species:S:1:pos:R:3 comment="Zn2HgSb | the Alexandria database | PBEsol | relaxed" relative_energy_mev_per_atom=34 m_tot_mub_per_fu=0.00 volume_a3_per_cell=80.9 formation_energy_uncorrected_ev_per_atom=0.130 mass_density_g_cm3=9.305 pbc="T T T"
Hg -1.116 -5.057 -2.183
Sb 0.000 0.000 0.000
Zn -0.568 -2.600 -1.063
Zn -1.665 -7.515 -3.303